Here is a geometry-optimized VSn2RhF structure from Alexandria via LeMat-Bulk. Energies are from PBE with a Hubbard U.

extended XYZ file:
```
5
Lattice="5.324 0.000 0.000 0.000 5.324 0.000 0.000 0.000 3.694" Properties=species:S:1:pos:R:3 pbc="T T T"
V 0.000 0.000 0.000
Sn 0.000 2.662 0.000
Sn 2.662 0.000 0.000
Rh 2.662 2.662 1.847
F 0.000 0.000 1.847
```

Values from the calculation:
Volume (Å³ per cell): 104.70
Uncorrected energy (eV per atom): -4.908